A relaxed structure of CsPmGeS4. Source: Alexandria, functional GGA-PBE.

The volume is 29.3 Å³ per atom. The uncorrected formation energy comes out at -1.279 eV/atom.

It has space group P2_1/m (No. 11), with a = 6.6181 Å, b = 6.8300 Å, c = 9.5535 Å, α = 90.00°, β = 107.98° and γ = 90.00°. The asymmetric unit holds Cs at (0.2329, 0.2500, 0.4367), Pm at (0.2737, 0.2500, 0.9525), Ge at (0.2788, 0.7500, 0.1642), S at (0.0737, 0.7500, 0.9314), S at (0.0808, 0.7500, 0.3122) and S at (0.4951, 0.5031, 0.8027).